Record 1
Here is KInPb after structural relaxation from Alexandria via LeMat-Bulk. Energies are from PBE.

The structure in POSCAR format:
```
KInPb
1.0
5.2661 0.0000 0.0000
-2.6330 4.5606 0.0000
0.0000 0.0000 8.3075
K In Pb
2 2 2
direct
0.0000 0.0000 0.0000
0.0000 0.0000 0.5000
0.3333 0.6667 0.3027
0.6667 0.3333 0.8027
0.3333 0.6667 0.7006
0.6667 0.3333 0.2006
```

Calculated values
The volume is 100 Å³/f.u. The calculation puts the mass density at 6.011 g/cm3. As for the energy of formation from the pure elements: -0.40 eV per formula unit.

=====

Record 2
Here is Sr2SbPb after structural relaxation from Alexandria via LeMat-Bulk. Energies are from PBE.

The structure in POSCAR format:
```
Sr2SbPb
1.0
4.2081 0.0000 0.0000
0.0000 4.2081 0.0000
0.0000 0.0000 8.8778
Sr Sb Pb
2 1 1
direct
0.0000 0.0000 0.0000
0.5000 0.5000 0.3714
0.5000 0.5000 0.7660
0.0000 0.0000 0.6206
```

Calculated values
The volume is 157 Å³/f.u. The calculation puts the mass density at 5.326 g/cm3. As for the formation energy (no corrections): -0.34 eV per atom. For the energy above the lowest structure with this stoichiometry, the calculation gives 354 meV/atom.

=====

Record 3
Here is ReSiSb2Br after structural relaxation from Alexandria via LeMat-Bulk. Energies are from PBE.

The structure in POSCAR format:
```
ReSiSb2Br
1.0
5.3404 0.0000 0.0000
0.0000 5.3404 0.0000
0.0000 0.0000 4.6364
Re Si Sb Br
1 1 2 1
direct
0.0000 0.0000 0.0000
0.0000 0.0000 0.5000
0.0000 0.5000 0.5000
0.5000 0.0000 0.5000
0.5000 0.5000 0.0000
```

Calculated values
The volume is 132 Å³/f.u. The calculation puts the mass density at 6.753 g/cm3. As for the formation energy (no corrections): 1.10 eV per atom.

=====

Record 4
Here is Co2IN after structural relaxation from Alexandria via LeMat-Bulk. Energies are from PBE.

The structure in POSCAR format:
```
Co2IN
1.0
4.7543 0.0000 0.0000
0.0000 4.7543 0.0000
0.0000 0.0000 10.5582
Co I N
8 4 4
direct
0.1139 0.2500 0.1250
0.2500 0.6139 0.3750
0.2500 0.8861 0.8750
0.3861 0.2500 0.6250
0.6139 0.7500 0.6250
0.7500 0.1139 0.8750
0.7500 0.3861 0.3750
0.8861 0.7500 0.1250
0.0000 0.0000 0.5000
0.0000 0.5000 0.7500
0.5000 0.0000 0.2500
0.5000 0.5000 0.0000
0.0000 0.0000 0.0000
0.0000 0.5000 0.2500
0.5000 0.0000 0.7500
0.5000 0.5000 0.5000
```

Calculated values
The volume is 60 Å³/f.u. The calculation puts the mass density at 7.202 g/cm3. As for the formation energy (no corrections): 0.32 eV per atom. For the energy above the lowest structure with this stoichiometry, the calculation gives 0 meV/atom.

=====

Record 5
Here is AcLaDyPb after structural relaxation from Alexandria via LeMat-Bulk. Energies are from PBE.

The structure in POSCAR format:
```
AcLaDyPb
1.0
8.0936 0.0000 0.0000
0.0000 8.0936 0.0000
0.0000 0.0000 8.0936
Ac La Dy Pb
4 4 4 4
direct
0.0000 0.0000 0.0000
0.0000 0.5000 0.5000
0.5000 0.0000 0.5000
0.5000 0.5000 0.0000
0.2500 0.2500 0.2500
0.2500 0.7500 0.7500
0.7500 0.2500 0.7500
0.7500 0.7500 0.2500
0.2500 0.2500 0.7500
0.2500 0.7500 0.2500
0.7500 0.2500 0.2500
0.7500 0.7500 0.7500
0.0000 0.0000 0.5000
0.0000 0.5000 0.0000
0.5000 0.0000 0.0000
0.5000 0.5000 0.5000
```

Calculated values
The volume is 133 Å³/f.u. The calculation puts the mass density at 9.216 g/cm3. As for the energy of formation from the pure elements: -0.43 eV per formula unit.

=====

Record 6
Here is HfTaNb4 after structural relaxation from Alexandria via LeMat-Bulk. Energies are from PBE.

The structure in POSCAR format:
```
HfTaNb4
1.0
4.8943 0.0000 0.0000
-2.4471 4.2386 0.0000
0.0000 0.0000 5.5389
Hf Ta Nb
1 1 4
direct
0.0000 0.0000 0.0000
0.0000 0.0000 0.5000
0.3333 0.6667 0.2553
0.3333 0.6667 0.7447
0.6667 0.3333 0.2553
0.6667 0.3333 0.7447
```

Calculated values
The volume is 115 Å³/f.u. The calculation puts the mass density at 10.565 g/cm3. As for the energy of formation from the pure elements: 1.16 eV per formula unit. For the energy above the lowest structure with this stoichiometry, the calculation gives 181 meV/atom.

=====

Record 7
Here is Ho3BiO7 after structural relaxation from Alexandria via LeMat-Bulk. Energies are from PBE.

The structure in POSCAR format:
```
Ho3BiO7
1.0
3.7796 -5.3464 0.0000
3.7796 5.3464 0.0000
0.0000 0.0000 7.6475
Ho Bi O
6 2 14
direct
0.0000 0.0000 0.0000
0.0000 0.0000 0.5000
0.0306 0.5022 0.7500
0.4978 0.9694 0.7500
0.5022 0.0306 0.2500
0.9694 0.4978 0.2500
0.5000 0.5000 0.0000
0.5000 0.5000 0.5000
0.1320 0.8680 0.2500
0.1369 0.8631 0.7500
0.1617 0.4159 0.0303
0.1617 0.4159 0.4697
0.4118 0.5882 0.7500
0.4159 0.1617 0.5303
0.4159 0.1617 0.9697
0.5841 0.8383 0.0303
0.5841 0.8383 0.4697
0.5882 0.4118 0.2500
0.8383 0.5841 0.5303
0.8383 0.5841 0.9697
0.8631 0.1369 0.2500
0.8680 0.1320 0.7500
```

Calculated values
The volume is 155 Å³/f.u. The calculation puts the mass density at 8.766 g/cm3. As for the formation energy (no corrections): -2.75 eV per atom.

=====

Record 8
Here is Nd12Ir6Rh after structural relaxation from Alexandria via LeMat-Bulk. Energies are from PBE.

The structure in POSCAR format:
```
Nd12Ir6Rh
1.0
6.4231 3.7084 3.9457
-6.4231 3.7084 3.9457
0.0000 -7.4168 3.9457
Nd Ir Rh
12 6 1
direct
0.0527 0.6766 0.9244
0.0756 0.9473 0.3234
0.1766 0.4209 0.5815
0.3234 0.0756 0.9473
0.4185 0.8234 0.5791
0.4209 0.5815 0.1766
0.5791 0.4185 0.8234
0.5815 0.1766 0.4209
0.6766 0.9244 0.0527
0.8234 0.5791 0.4185
0.9244 0.0527 0.6766
0.9473 0.3234 0.0756
0.1338 0.6160 0.3052
0.3052 0.1338 0.6160
0.3840 0.6948 0.8662
0.6160 0.3052 0.1338
0.6948 0.8662 0.3840
0.8662 0.3840 0.6948
0.0000 0.0000 0.0000
```

Calculated values
The volume is 564 Å³/f.u. The calculation puts the mass density at 8.796 g/cm3. As for the energy of formation from the pure elements: -10.37 eV per formula unit.

=====

Record 9
Here is Dy6ZnIn2 after structural relaxation from Alexandria via LeMat-Bulk. Energies are from PBE.

The structure in POSCAR format:
```
Dy6ZnIn2
1.0
-2.5484 3.6192 7.6361
2.5484 -3.6192 7.6361
2.5484 3.6192 -7.6361
Dy Zn In
6 1 2
direct
0.0816 0.3386 0.7430
0.2354 0.0000 0.2354
0.4044 0.6614 0.7430
0.5956 0.3386 0.2570
0.7646 0.0000 0.7646
0.9184 0.6614 0.2570
0.0000 0.5000 0.5000
0.3338 0.8338 0.5000
0.6662 0.1662 0.5000
```

Calculated values
The volume is 282 Å³/f.u. The calculation puts the mass density at 7.486 g/cm3. As for the energy of formation from the pure elements: -0.38 eV per formula unit.

=====

Record 10
Here is MnSe2N after structural relaxation from Alexandria via LeMat-Bulk. Energies are from PBE.

The structure in POSCAR format:
```
MnSe2N
1.0
3.8061 0.0000 0.0000
-1.9030 3.2962 0.0000
0.0000 0.0000 18.5118
Mn Se N
3 6 3
direct
0.0000 0.0000 0.0000
0.3333 0.6667 0.6667
0.6667 0.3333 0.3333
0.0000 0.0000 0.4043
0.0000 0.0000 0.5957
0.3333 0.6667 0.0709
0.3333 0.6667 0.2624
0.6667 0.3333 0.7376
0.6667 0.3333 0.9291
0.0000 0.0000 0.5000
0.3333 0.6667 0.1667
0.6667 0.3333 0.8333
```

Calculated values
The volume is 77 Å³/f.u. The calculation puts the mass density at 4.866 g/cm3. As for the formation energy (no corrections): 0.58 eV per atom.

=====

Record 11
Here is MnNi7Ge2As2 after structural relaxation from Alexandria via LeMat-Bulk. Energies are from PBE.

The structure in POSCAR format:
```
MnNi7Ge2As2
1.0
2.4656 -2.5067 0.0000
2.4656 2.5067 0.0000
-1.3173 0.0000 13.8234
Mn Ni Ge As
1 7 2 2
direct
0.0000 0.0000 0.0000
0.0356 0.5360 0.1330
0.3849 0.3849 0.5876
0.4640 0.9644 0.8670
0.5000 0.5000 0.0000
0.5360 0.0356 0.1330
0.6151 0.6151 0.4124
0.9644 0.4640 0.8670
0.1328 0.1328 0.4210
0.8672 0.8672 0.5790
0.4355 0.4355 0.7565
0.5645 0.5645 0.2435
```

Calculated values
The volume is 171 Å³/f.u. The calculation puts the mass density at 7.395 g/cm3. As for the energy of formation from the pure elements: -1.46 eV per formula unit.

=====

Record 12
Here is Mo2IrRh after structural relaxation from Alexandria via LeMat-Bulk. Energies are from PBE.

The structure in POSCAR format:
```
Mo2IrRh
1.0
3.9103 0.0000 0.0000
0.0000 3.9103 0.0000
0.0000 0.0000 3.9129
Mo Ir Rh
2 1 1
direct
0.0000 0.5000 0.0000
0.5000 0.0000 0.0000
0.0000 0.0000 0.5000
0.5000 0.5000 0.5000
```

Calculated values
The volume is 60 Å³/f.u. The calculation puts the mass density at 13.517 g/cm3. As for the energy of formation from the pure elements: -0.98 eV per formula unit. For the energy above the lowest structure with this stoichiometry, the calculation gives 13 meV/atom.

=====

M_tot? In order: 0.00; 0.00; 1.99; 0.00; 0.00; 0.00; 0.00; 0.00; 0.00; 9.14; 4.06; 0.00 μB per cell.